[1]
Compound: Sm2ErTmBi5
Source: Alexandria
Functional: PBE
Structure: optimized geometry

space group	No. 123
E_tot	-38.60	eV/cell

a = 5.380 Å, b = 5.380 Å, c = 11.846 Å
α = 90.00°, β = 90.00°, γ = 90.00°
Sites, in units of the cell vectors:
Sm 0.000 0.000 0.227
Sm 0.000 0.000 0.773
Er 0.500 0.500 0.500
Tm 0.500 0.500 0.000
Bi 0.000 0.000 0.500
Bi 0.000 0.500 0.000
Bi 0.500 0.000 0.000
Bi 0.500 0.500 0.254
Bi 0.500 0.500 0.746

---

[2]
Compound: TlFe2Ni2
Source: Alexandria
Functional: PBE
Structure: optimized geometry

space group	No. 127
relative energy among the computed polymorphs	0.24	eV/f.u.

a = 7.172 Å, b = 7.172 Å, c = 2.747 Å
α = 90.00°, β = 90.00°, γ = 90.00°
Sites, in units of the cell vectors:
Tl 0.000 0.000 0.000
Tl 0.500 0.500 0.000
Fe 0.118 0.382 0.000
Fe 0.382 0.882 0.000
Fe 0.618 0.118 0.000
Fe 0.882 0.618 0.000
Ni 0.169 0.669 0.500
Ni 0.331 0.169 0.500
Ni 0.669 0.831 0.500
Ni 0.831 0.331 0.500

---

[3]
Compound: NaAgBr4
Source: Alexandria
Functional: PBE
Structure: optimized geometry

E_form (uncorrected)	-0.5777	eV/atom
space group	No. 15

a = 7.880 Å, b = 7.880 Å, c = 7.927 Å
α = 105.05°, β = 105.05°, γ = 115.79°
Sites, in units of the cell vectors:
Na 0.174 0.826 0.750
Na 0.826 0.174 0.250
Ag 0.322 0.678 0.250
Ag 0.678 0.322 0.750
Br 0.011 0.391 0.719
Br 0.241 0.334 0.254
Br 0.334 0.241 0.754
Br 0.391 0.011 0.219
Br 0.609 0.989 0.781
Br 0.666 0.759 0.246
Br 0.759 0.666 0.746
Br 0.989 0.609 0.281

---

[4]
Compound: Cr2CuMo
Source: Alexandria
Functional: PBE
Structure: optimized geometry

space group	No. 44
relative energy among the computed polymorphs	0.33	eV/f.u.

a = 4.805 Å, b = 4.805 Å, c = 4.805 Å
α = 142.52°, β = 129.14°, γ = 64.86°
Sites, in units of the cell vectors:
Cr 0.000 0.000 0.000
Cr 0.780 0.280 0.500
Cu 0.517 0.517 0.000
Mo 0.247 0.747 0.500

---

[5]
Compound: MgTiBi3
Source: Alexandria
Functional: PBE
Structure: optimized geometry

space group	No. 221
relative energy among the computed polymorphs	3.30	eV/f.u.

a = 5.424 Å, b = 5.424 Å, c = 5.424 Å
α = 90.00°, β = 90.00°, γ = 90.00°
Sites, in units of the cell vectors:
Mg 0.000 0.000 0.000
Ti 0.500 0.500 0.500
Bi 0.000 0.000 0.500
Bi 0.000 0.500 0.000
Bi 0.500 0.000 0.000

---

[6]
Compound: MnZn3Se
Source: Alexandria
Functional: PBE
Structure: optimized geometry

E_form (uncorrected)	0.7679	eV/atom
space group	No. 221
relative energy among the computed polymorphs	0.76	eV/f.u.

a = 4.921 Å, b = 4.921 Å, c = 4.921 Å
α = 90.00°, β = 90.00°, γ = 90.00°
Sites, in units of the cell vectors:
Mn 0.000 0.000 0.000
Zn 0.000 0.500 0.500
Zn 0.500 0.000 0.500
Zn 0.500 0.500 0.000
Se 0.500 0.500 0.500

---

Copy entry 2 word for word.
Compound: TlFe2Ni2
Source: Alexandria
Functional: PBE
Structure: optimized geometry

space group	No. 127
relative energy among the computed polymorphs	0.24	eV/f.u.

a = 7.172 Å, b = 7.172 Å, c = 2.747 Å
α = 90.00°, β = 90.00°, γ = 90.00°
Sites, in units of the cell vectors:
Tl 0.000 0.000 0.000
Tl 0.500 0.500 0.000
Fe 0.118 0.382 0.000
Fe 0.382 0.882 0.000
Fe 0.618 0.118 0.000
Fe 0.882 0.618 0.000
Ni 0.169 0.669 0.500
Ni 0.331 0.169 0.500
Ni 0.669 0.831 0.500
Ni 0.831 0.331 0.500